[1]
Compound: ScAlZn2
Source: the Alexandria database
Functional: meta-GGA SCAN
Structure: single point on PBEsol structure

Geometry as extended XYZ:
```
4
Lattice="-1.3149 0.4492 2.6124 -0.4593 -2.2748 1.8357 7.4667 0.8368 5.2899" Properties=species:S:1:pos:R:3 pbc="T T T"
Sc 1.3841 -0.2542 2.4161
Zn 7.3406 0.8142 5.2304
Zn 4.3129 -0.7338 7.3241
Al 2.9679 -0.4726 4.9265
```

## Properties
Symmetry: No. 160
M_tot (μB/cell): 0.3
DOS(E_F) (states/eV per cell): 2.67
Calculated volume (A^3/atom): 17.1
E (eV/cell): -49.0
ΔH_f (0 K) (eV per atom): 0.0055



[2]
Compound: Mn3Pt2
Source: the Alexandria database
Functional: meta-GGA SCAN
Structure: single point on PBEsol structure

Geometry as extended XYZ:
```
5
Lattice="2.6293 0.0000 0.0000 1.3146 2.2770 0.0000 1.3146 0.7590 10.5562" Properties=species:S:1:pos:R:3 pbc="T T T"
Mn 0.0000 0.0000 0.0000
Mn 3.9439 2.2770 6.1702
Mn 1.3146 0.7590 4.3860
Pt 2.6293 1.5180 2.1800
Pt 2.6293 1.5180 8.3762
```

## Properties
Symmetry: No. 166
M_tot (μB/cell): 3.5
DOS(E_F) (states/eV per cell): 5.54
Calculated volume (A^3/atom): 12.6
E (eV/cell): -195.3
ΔH_f (0 K) (eV per atom): -0.0331



[3]
Compound: CaSnF4
Source: the Alexandria database
Functional: meta-GGA SCAN
Structure: single point on PBEsol structure

Geometry as extended XYZ:
```
6
Lattice="-0.9815 2.6338 2.7659 -2.4883 -2.6075 1.5999 4.1675 -1.9376 3.3239" Properties=species:S:1:pos:R:3 pbc="T T T"
Ca 2.0838 -0.9688 1.6619
Sn -1.7349 0.0132 2.1829
F 0.6143 0.8032 2.2643
F 2.5718 -0.1069 3.8255
F 1.8183 -2.7276 3.2425
F -0.1392 -1.8175 1.6813
```

## Properties
Symmetry: No. 123
M_tot (μB/cell): 0.0
Formation energy from raw total energies (eV/atom): -3.19
DOS(E_F) (states/eV per cell): 0.00
Calculated volume (A^3/atom): 14.7
E (eV/cell): -78.9



Question: M_tot of number 1 (ScAlZn2)?
Answer: 0.3 μB/cell